Below is a relaxed Fe3MoRh crystal, with properties calculated at the PBEsol level.

Values from the calculation:
DFT formation energy = 1.61 eV per atom
DOS(E_F) = 1.112 states/eV/atom
total magnetization = 5.1 Bohr magnetons per cell
crystal system = cubic
energy relative to the lowest polymorph listed for this composition = 0 meV/atom

Geometry as CIF:
```
data_Fe3MoRh
_symmetry_space_group_name_H-M 'P 1'
_symmetry_Int_Tables_number 1
_symmetry_space_group_name_Hall 'P 1'
_cell_length_a 4.262
_cell_length_b 4.262
_cell_length_c 4.262
_cell_angle_alpha 90.00
_cell_angle_beta 90.00
_cell_angle_gamma 90.00
loop_
_atom_site_label
_atom_site_fract_x
_atom_site_fract_y
_atom_site_fract_z
Fe1 0.000 0.000 0.500
Mo1 0.000 0.000 0.000
Fe2 0.500 0.000 0.000
Fe3 0.000 0.500 0.000
Rh1 0.500 0.500 0.500
```